The following is a PBE-GGA calculation of a relaxed TlReTe2 crystal, from Alexandria via LeMat-Bulk.

Computed properties:
Relative energy among the computed polymorphs, meV per atom: 200.8
Magnetization, μB per atom: 0.00
N(E_F), states/eV/cell: 2.83
Density, Mg/m³: 10.3
Formation energy without anion corrections, kJ per mole of atoms: 42.5

a = 3.2051 Å, b = 3.2051 Å, c = 10.1105 Å
α = 90.00°, β = 90.00°, γ = 90.00°
Fractional coordinates of all 4 atoms:
Re: 0.5000 0.5000 0.7696
Te: 0.0000 0.0000 0.9169
Te: 0.5000 0.5000 0.2562
Tl: 0.0000 0.0000 0.5572

=====

The following is a PBE-GGA calculation of a relaxed TlRe2Te crystal, from Alexandria via LeMat-Bulk.

Computed properties:
Relative energy among the computed polymorphs, meV per atom: 951.0
Magnetization, μB per atom: 0.00
N(E_F), states/eV/cell: 5.82
Density, Mg/m³: 15.1
Formation energy without anion corrections, kJ per mole of atoms: 130.9

a = 3.2147 Å, b = 5.2615 Å, c = 4.5735 Å
α = 90.00°, β = 90.00°, γ = 90.00°
Fractional coordinates of all 4 atoms:
Re: 0.0000 0.0000 0.0000
Re: 0.5000 0.5000 0.0000
Te: 0.5000 0.0000 0.5000
Tl: 0.0000 0.5000 0.5000

=====

The following is a PBE-GGA calculation of a relaxed TlRe2Te crystal, from Alexandria via LeMat-Bulk.

Computed properties:
Relative energy among the computed polymorphs, meV per atom: 899.0
Magnetization, μB per atom: 0.00
N(E_F), states/eV/cell: 3.09
Density, Mg/m³: 15.2
Formation energy without anion corrections, kJ per mole of atoms: 125.9

a = 3.1265 Å, b = 3.1265 Å, c = 9.0089 Å
α = 90.00°, β = 90.00°, γ = 118.76°
Fractional coordinates of all 4 atoms:
Re: 0.0000 0.0000 0.0160
Re: 0.0000 0.0000 0.4840
Te: 0.5000 0.5000 0.2500
Tl: 0.5000 0.5000 0.7500

=====

The following is a PBE-GGA calculation of a relaxed TlReTe crystal, from Alexandria via LeMat-Bulk.

Computed properties:
Relative energy among the computed polymorphs, meV per atom: 0.0
Magnetization, μB per atom: 0.00
N(E_F), states/eV/cell: 1.99
Density, Mg/m³: 12.0
Formation energy without anion corrections, kJ per mole of atoms: 52.2

a = 7.1634 Å, b = 7.1634 Å, c = 7.1634 Å
α = 153.76°, β = 153.76°, γ = 37.44°
Fractional coordinates of all 3 atoms:
Re: 0.9823 0.9823 0.0000
Te: 0.3774 0.3774 0.0000
Tl: 0.6402 0.6402 0.0000